No. 1
Here is Pr2ScPd9 after structural relaxation from the Alexandria database. Energies are from PBE.

```
Pr2ScPd9
1.0
-2.453 3.281 0.835
-3.367 -2.255 -1.027
-1.046 -3.751 11.663
Pd Pr Sc
9 2 1
Direct
0.500 0.000 0.847
0.500 0.500 0.000
0.000 0.500 0.847
0.000 0.500 0.500
0.000 0.500 0.153
0.500 0.000 0.153
0.500 0.500 0.672
0.500 0.000 0.500
0.500 0.500 0.328
0.000 0.000 0.674
0.000 0.000 0.326
0.000 0.000 0.000
```

Computed properties:
* space-group type: P4/mmm (123)
* energy of formation from the pure elements: -763 meV per atom
* D(E_F): 0.72 states/eV/atom

No. 2
Here is SrSbPb after structural relaxation from the Alexandria database. Energies are from PBE.

```
SrSbPb
1.0
6.797 0.000 0.000
0.000 5.147 -2.308
0.000 0.128 5.640
Sr Pb Sb
2 2 2
Direct
0.750 0.336 0.664
0.250 0.664 0.336
0.000 0.000 0.000
0.500 0.000 0.000
0.250 0.313 0.687
0.750 0.687 0.313
```

Computed properties:
* energy: -3.709 eV/atom
* space-group type: Cmcm (63)
* D(E_F): 0.42 states/eV/atom

No. 3
Here is AgBi2Au after structural relaxation from the Alexandria database. Energies are from PBE.

```
AgBi2Au
1.0
4.288 0.000 0.000
0.000 4.779 0.000
0.000 0.000 4.779
Au Ag Bi
1 1 2
Direct
0.500 0.000 0.000
0.500 0.500 0.500
0.000 0.500 0.000
0.000 0.000 0.500
```

Computed properties:
* space-group type: P4/mmm (123)
* energy of formation from the pure elements: 76 meV per atom
* D(E_F): 0.35 states/eV/atom

No. 4
Here is CaLa4Tb3Te8 after structural relaxation from the Alexandria database. Energies are from PBE.

```
CaLa4Tb3Te8
1.0
-1.141 8.689 1.829
-2.857 1.399 -8.430
-3.987 -6.205 5.077
La Te Tb Ca
4 8 3 1
Direct
0.500 0.000 0.500
0.000 0.000 0.000
0.000 0.000 0.500
0.500 0.000 0.000
0.246 0.735 0.491
0.744 0.735 0.990
0.754 0.265 0.010
0.255 0.265 0.510
0.256 0.265 0.010
0.754 0.265 0.509
0.745 0.735 0.490
0.246 0.735 0.990
0.500 0.500 0.500
0.000 0.500 0.500
0.500 0.500 0.000
0.000 0.500 0.000
```

Computed properties:
* energy: -5.282 eV/atom
* space-group type: R-3m (166)
* D(E_F): 0.63 states/eV/atom

No. 5
Here is HoNbCo2 after structural relaxation from the Alexandria database. Energies are from PBE.

```
HoNbCo2
1.0
4.507 0.000 0.000
2.254 3.904 0.000
2.254 1.301 3.680
Nb Co Ho
1 2 1
Direct
0.500 0.500 0.500
0.250 0.250 0.250
0.750 0.750 0.750
0.000 0.000 0.000
```

Computed properties:
* space-group type: Fm-3m (225)
* energy of formation from the pure elements: 0 meV per atom
* D(E_F): 0.87 states/eV/atom

No. 6
Here is PmMg2OsO8 after structural relaxation from the Alexandria database. Energies are from PBE.

```
PmMg2OsO8
1.0
-0.256 3.474 3.193
2.798 -2.341 2.718
5.287 3.010 -2.851
O Mg Os Pm
8 2 1 1
Direct
0.446 0.259 0.500
0.681 0.755 0.000
0.554 0.741 0.500
0.152 0.765 0.797
0.848 0.235 0.203
0.152 0.765 0.203
0.848 0.235 0.797
0.319 0.245 0.000
0.500 0.500 0.764
0.500 0.500 0.236
0.000 0.000 0.000
0.000 0.000 0.500
```

Computed properties:
* energy: -6.743 eV/atom
* space-group type: P2/m (10)
* D(E_F): 0.15 states/eV/atom

No. 7
Here is TaMnCuOs after structural relaxation from the Alexandria database. Energies are from PBE.

```
TaMnCuOs
1.0
-0.845 0.959 -4.149
-4.058 -0.295 -1.513
-2.215 3.601 -0.988
Os Ta Cu Mn
1 1 1 1
Direct
0.500 0.500 0.500
0.750 0.750 0.750
0.250 0.250 0.250
0.000 0.000 0.000
```

Computed properties:
* space-group type: F-43m (216)
* energy of formation from the pure elements: 23 meV per atom
* D(E_F): 0.30 states/eV/atom

No. 8
Here is Cs2CuF3 after structural relaxation from the Alexandria database. Energies are from PBE.

```
Cs2CuF3
1.0
6.792 -0.614 -1.813
-2.331 6.409 -1.813
-0.295 -0.383 8.214
F Cs Cu
6 4 2
Direct
0.237 0.494 0.731
0.862 0.862 0.724
0.763 0.506 0.269
0.494 0.237 0.731
0.138 0.138 0.276
0.506 0.763 0.269
0.250 0.750 0.500
0.268 0.268 0.000
0.750 0.250 0.500
0.732 0.732 0.000
0.269 0.269 0.538
0.731 0.731 0.462
```

Computed properties:
* energy: -3.988 eV/atom
* space-group type: Fmmm (69)

Magnetization for the records above, in order: 0.0000; 0.0000; 0.0000; 0.0000; 0.3057; 0.0000; 0.7374; 0.0113 μB/atom